Density functional theory data (PBE-GGA) for a relaxed structure of BaZr2Mn.

```
BaZr2Mn
1.0
0.000 3.537 3.537
3.537 0.000 3.537
3.537 3.537 0.000
Ba Zr Mn
1 2 1
Direct
0.000 0.000 0.000 Ba
0.250 0.250 0.250 Zr
0.750 0.750 0.750 Zr
0.500 0.500 0.500 Mn
```

Results
SG: No. 225
Energy above the lowest structure with this stoichiometry, eV/atom: 0.626
Calculated volume, Å³/atom: 22.1
Size of the total moment, Bohr magnetons per cell: 0.000
Energy of formation from the pure elements, eV/f.u.: 3.695

=====

Density functional theory data (PBE-GGA) for a relaxed structure of BaZr2Mn.

```
BaZr2Mn
1.0
-1.640 2.916 5.387
1.640 -2.916 5.387
1.640 2.916 -5.387
Ba Zr Mn
1 2 1
Direct
0.000 0.000 0.000 Ba
0.306 0.806 0.500 Zr
0.694 0.194 0.500 Zr
0.500 0.500 0.000 Mn
```

Results
SG: No. 71
Energy above the lowest structure with this stoichiometry, eV/atom: 0.253
Calculated volume, Å³/atom: 25.8
Size of the total moment, Bohr magnetons per cell: 1.231
Energy of formation from the pure elements, eV/f.u.: 2.201

=====

Density functional theory data (PBE-GGA) for a relaxed structure of BaZrMn2.

```
BaZrMn2
1.0
3.216 0.000 0.000
0.000 3.216 0.000
0.000 0.000 8.942
Ba Zr Mn
1 1 2
Direct
0.000 0.000 0.000 Ba
0.500 0.500 0.633 Zr
0.000 0.000 0.429 Mn
0.500 0.500 0.304 Mn
```

Results
SG: No. 99
Energy above the lowest structure with this stoichiometry, eV/atom: 0.084
Calculated volume, Å³/atom: 23.1
Size of the total moment, Bohr magnetons per cell: 0.923
Energy of formation from the pure elements, eV/f.u.: 1.848

=====

Density functional theory data (PBE-GGA) for a relaxed structure of BaZrMn2.

```
BaZrMn2
1.0
-2.233 2.233 4.648
2.233 -2.233 4.648
2.233 2.233 -4.648
Ba Zr Mn
1 1 2
Direct
0.000 0.000 0.000 Ba
0.750 0.250 0.500 Zr
0.250 0.750 0.500 Mn
0.500 0.500 0.000 Mn
```

Results
SG: No. 119
Energy above the lowest structure with this stoichiometry, eV/atom: 0.446
Calculated volume, Å³/atom: 23.2
Size of the total moment, Bohr magnetons per cell: 6.420
Energy of formation from the pure elements, eV/f.u.: 3.296